(1)
CrCdFe2 | SCAN | PBEsol geometry

Values from the calculation:
Density of states at the Fermi level   2.6 states/eV per cell
Symmetry   Immm, No. 71
Formation energy   30 kJ/mol of atoms

a = 4.6049 Å, b = 4.6049 Å, c = 4.6049 Å
α = 132.30°, β = 132.10°, γ = 69.91°
Closest atoms and distances in Å follow each position.
Sites, in units of the cell vectors:
Cr: 0.0000 0.0000 0.0000  4 Cd 2.64, 8 Fe 2.65-2.66
Cd: 0.5000 0.5000 0.0000  4 Cr 2.64, 8 Fe 2.65
Fe: 0.2497 0.7497 0.5000  4 Fe 2.64, 4 Cr 2.65-2.66, 4 Cd 2.65
Fe: 0.7503 0.2503 0.5000  4 Fe 2.64, 4 Cr 2.65-2.66, 4 Cd 2.65

---

(2)
Cr2SiBr | SCAN | PBEsol geometry

Values from the calculation:
Density of states at the Fermi level   1.0 states/eV per cell
Uncorrected formation energy   0.105 eV per atom
Symmetry   P4mm, No. 99

a = 3.0399 Å, b = 3.0399 Å, c = 7.0542 Å
α = 90.00°, β = 90.00°, γ = 90.00°
Closest atoms and distances in Å follow each position.
Sites, in units of the cell vectors:
Cr: 0.0000 0.0000 0.0000  4 Cr 2.54, 1 Si 2.57, 4 Br 2.70
Cr: 0.5000 0.5000 0.1921  4 Si 2.47, 4 Cr 2.54
Si: 0.0000 0.0000 0.3643  5 Cr 2.47-2.57
Br: 0.5000 0.5000 0.7686  5 Cr 2.70-2.99

---

What is the density of states at the Fermi level in the second record?
1.0 states/eV per cell

---

Please write out number 1 again, unchanged.
CrCdFe2 | SCAN | PBEsol geometry

Values from the calculation:
Density of states at the Fermi level   2.6 states/eV per cell
Symmetry   Immm, No. 71
Formation energy   30 kJ/mol of atoms

a = 4.6049 Å, b = 4.6049 Å, c = 4.6049 Å
α = 132.30°, β = 132.10°, γ = 69.91°
Closest atoms and distances in Å follow each position.
Sites, in units of the cell vectors:
Cr: 0.0000 0.0000 0.0000  4 Cd 2.64, 8 Fe 2.65-2.66
Cd: 0.5000 0.5000 0.0000  4 Cr 2.64, 8 Fe 2.65
Fe: 0.2497 0.7497 0.5000  4 Fe 2.64, 4 Cr 2.65-2.66, 4 Cd 2.65
Fe: 0.7503 0.2503 0.5000  4 Fe 2.64, 4 Cr 2.65-2.66, 4 Cd 2.65